1.
Here is a relaxed structure of BaFe2Ag from Alexandria via LeMat-Bulk. Energies are from PBE.

Properties
DFT formation energy in meV per atom: 447

Unit cell a=7.547 b=4.343 c=6.370 alpha=90.00 beta=113.16 gamma=90.00
Space group Cm (No. 8)
Asymmetric unit:
Ba 0.000 0.000 0.000 [2 per cell]
Fe 0.303 0.500 0.409 [2 per cell]
Fe 0.484 0.000 0.453 [2 per cell]
Ag 0.192 0.000 0.579 [2 per cell]

---

2.
Here is a relaxed structure of BaFe2Ag from Alexandria via LeMat-Bulk. Energies are from PBE.

Properties
DFT formation energy in meV per atom: 955

Unit cell a=7.023 b=7.023 c=7.023 alpha=90.00 beta=90.00 gamma=90.00
Space group Fm-3m (No. 225)
Asymmetric unit:
Ba 0.000 0.000 0.000 [4 per cell]
Fe 0.250 0.250 0.250 [8 per cell]
Ag 0.000 0.000 0.500 [4 per cell]

---

3.
Here is a relaxed structure of BaFe2Ag from Alexandria via LeMat-Bulk. Energies are from PBE.

Properties
DFT formation energy in meV per atom: 988

Unit cell a=6.158 b=7.732 c=3.454 alpha=90.00 beta=90.00 gamma=90.00
Space group Cmmm (No. 65)
Asymmetric unit:
Ba 0.000 0.000 0.000 [2 per cell]
Fe 0.250 0.250 0.500 [4 per cell]
Ag 0.000 0.500 0.000 [2 per cell]

---

4.
Here is a relaxed structure of BaFeAgGe2 from Alexandria via LeMat-Bulk. Energies are from PBE.

Properties
DFT formation energy in meV per atom: -143

Unit cell a=4.611 b=4.611 c=5.270 alpha=90.00 beta=90.00 gamma=90.00
Space group P4/mmm (No. 123)
Asymmetric unit:
Ba 0.000 0.000 0.000 [1 per cell]
Fe 0.500 0.500 0.500 [1 per cell]
Ag 0.500 0.500 0.000 [1 per cell]
Ge 0.000 0.500 0.500 [2 per cell]

---

5.
Here is a relaxed structure of BaFeAgH2 from Alexandria via LeMat-Bulk. Energies are from PBE.

Properties
Raw total energy in eV per atom: -3.170

Unit cell a=4.230 b=4.230 c=5.646 alpha=90.00 beta=90.00 gamma=90.00
Space group P4/mmm (No. 123)
Asymmetric unit:
Ba 0.000 0.000 0.000 [1 per cell]
Fe 0.000 0.000 0.500 [1 per cell]
Ag 0.500 0.500 0.000 [1 per cell]
H 0.000 0.500 0.500 [2 per cell]

---

6.
Here is a relaxed structure of BaFe2AgI8 from Alexandria via LeMat-Bulk. Energies are from PBE.

Properties
Formation energy without anion corrections in meV/atom: -511

Unit cell a=7.3688 b=7.3688 c=10.2199 alpha=90.00 beta=90.00 gamma=120.00
Space group P-3 (No. 147)
Asymmetric unit:
Ba 0.0000 0.0000 0.0000 [1 per cell]
Fe 0.3333 0.6667 0.7560 [2 per cell]
Ag 0.0000 0.0000 0.5000 [1 per cell]
I 0.0065 0.3168 0.6915 [6 per cell]
I 0.3333 0.6667 0.0082 [2 per cell]

---

7.
Here is a relaxed structure of Ba2FeAgN from Alexandria via LeMat-Bulk. Energies are from PBE.

Properties
Formation energy without anion corrections in meV/atom: -244

Unit cell a=5.878 b=5.878 c=3.623 alpha=90.00 beta=90.00 gamma=90.00
Space group P4/mmm (No. 123)
Asymmetric unit:
Ba 0.000 0.500 0.000 [2 per cell]
Fe 0.000 0.000 0.500 [1 per cell]
Ag 0.500 0.500 0.500 [1 per cell]
N 0.000 0.000 0.000 [1 per cell]

---

Copy entry 5 word for word.
Here is a relaxed structure of BaFeAgH2 from Alexandria via LeMat-Bulk. Energies are from PBE.

Properties
Raw total energy in eV per atom: -3.170

Unit cell a=4.230 b=4.230 c=5.646 alpha=90.00 beta=90.00 gamma=90.00
Space group P4/mmm (No. 123)
Asymmetric unit:
Ba 0.000 0.000 0.000 [1 per cell]
Fe 0.000 0.000 0.500 [1 per cell]
Ag 0.500 0.500 0.000 [1 per cell]
H 0.000 0.500 0.500 [2 per cell]